# 1
The following is a PBE calculation of a geometry-optimized TiBe4Co structure, from Alexandria via LeMat-Bulk.

Cell: 4.3098 4.3098 4.3098 Å, 60.00 60.00 60.00°
Positions (direct):
Ti 0.0000 0.0000 0.0000
Be 0.3751 0.3751 0.3751
Be 0.3751 0.3751 0.8747
Be 0.3751 0.8747 0.3751
Be 0.8747 0.3751 0.3751
Co 0.7500 0.7500 0.7500

Properties
E in Ry per atom: -0.38893
Energy relative to the elements in eV per atom: -0.307
D(E_F) in states/eV per cell: 4.5


# 2
The following is a PBE calculation of a geometry-optimized Zr2OsBr structure, from Alexandria via LeMat-Bulk.

Cell: 3.1483 3.1483 9.8925 Å, 90.00 90.00 114.13°
Positions (direct):
Zr 0.0000 0.0000 0.0000
Zr 0.5000 0.5000 0.2695
Os 0.0000 0.0000 0.4593
Br 0.5000 0.5000 0.7859

Properties
Distance to the lowest polymorph of the same formula in meV per atom: 608
E in Ry per atom: -0.54266
D(E_F) in states/eV per cell: 3.0


# 3
The following is a PBE calculation of a geometry-optimized Zr2Ni2Mo structure, from Alexandria via LeMat-Bulk.

Cell: 7.9631 7.9631 7.9631 Å, 155.57 155.57 34.82°
Positions (direct):
Zr 0.1067 0.1067 0.0000
Zr 0.8933 0.8933 0.0000
Ni 0.2500 0.7500 0.5000
Ni 0.7500 0.2500 0.5000
Mo 0.5000 0.5000 0.0000

Properties
Distance to the lowest polymorph of the same formula in meV per atom: 167
E in Ry per atom: -0.57837
Energy relative to the elements in eV per atom: 0.029
D(E_F) in states/eV per cell: 4.7


# 4
The following is a PBE calculation of a geometry-optimized PmSc2Mn structure, from Alexandria via LeMat-Bulk.

Cell: 10.8725 10.8725 10.8725 Å, 17.13 17.13 17.13°
Positions (direct):
Pm 0.0000 0.0000 0.0000
Sc 0.4221 0.4221 0.4221
Sc 0.5779 0.5779 0.5779
Mn 0.5000 0.5000 0.5000

Properties
Distance to the lowest polymorph of the same formula in meV per atom: 405
E in Ry per atom: -0.45289
Energy relative to the elements in eV per atom: 0.484
D(E_F) in states/eV per cell: 4.1


# 5
The following is a PBE calculation of a geometry-optimized LaNbAg2Ru structure, from Alexandria via LeMat-Bulk.

Cell: 5.2061 5.2061 4.6544 Å, 90.00 90.00 90.00°
Positions (direct):
La 0.0000 0.0000 0.0000
Nb 0.5000 0.5000 0.5000
Ag 0.0000 0.5000 0.5000
Ag 0.5000 0.0000 0.5000
Ru 0.5000 0.5000 0.0000

Properties
E in Ry per atom: -0.39559
Energy relative to the elements in eV per atom: 0.613
D(E_F) in states/eV per cell: 5.8


# 6
The following is a PBE calculation of a geometry-optimized CsAcBi2 structure, from Alexandria via LeMat-Bulk.

Cell: 5.7382 5.7382 4.7918 Å, 90.00 90.00 90.00°
Positions (direct):
Cs 0.0000 0.0000 0.0000
Ac 0.5000 0.5000 0.0000
Bi 0.0000 0.5000 0.5000
Bi 0.5000 0.0000 0.5000

Properties
Distance to the lowest polymorph of the same formula in meV per atom: 254
E in Ry per atom: -0.26003
Energy relative to the elements in eV per atom: -0.357
D(E_F) in states/eV per cell: 2.5


# 7
The following is a PBE calculation of a geometry-optimized RbIn5Hg6 structure, from Alexandria via LeMat-Bulk.

Cell: 7.5299 7.5299 6.3970 Å, 91.72 91.72 95.22°
Positions (direct):
Rb 0.0000 0.0000 0.0000
In 0.2181 0.7819 0.5000
In 0.3617 0.6383 0.0000
In 0.5000 0.5000 0.5000
In 0.6383 0.3617 0.0000
In 0.7819 0.2181 0.5000
Hg 0.0173 0.4750 0.2317
Hg 0.2058 0.2058 0.5370
Hg 0.4750 0.0173 0.2317
Hg 0.5250 0.9827 0.7683
Hg 0.7942 0.7942 0.4630
Hg 0.9827 0.5250 0.7683

Properties
E in Ry per atom: -0.10395
Energy relative to the elements in eV per atom: -0.042
D(E_F) in states/eV per cell: 4.0


# 8
The following is a PBE calculation of a geometry-optimized ZnHgOs2 structure, from Alexandria via LeMat-Bulk.

Cell: 4.7070 4.7070 4.7070 Å, 127.97 127.97 76.68°
Positions (direct):
Zn 0.0000 0.0000 0.0000
Hg 0.2500 0.7500 0.5000
Os 0.5000 0.5000 0.0000
Os 0.7500 0.2500 0.5000

Properties
Distance to the lowest polymorph of the same formula in meV per atom: 460
E in Ry per atom: -0.38736
Energy relative to the elements in eV per atom: 0.739
D(E_F) in states/eV per cell: 4.1


# 9
The following is a PBE calculation of a geometry-optimized Ga2PdPb2 structure, from Alexandria via LeMat-Bulk.

Cell: 7.2896 7.2896 4.7364 Å, 90.00 90.00 90.00°
Positions (direct):
Ga 0.1478 0.3522 0.0000
Ga 0.3522 0.8522 0.0000
Ga 0.6478 0.1478 0.0000
Ga 0.8522 0.6478 0.0000
Pd 0.0000 0.0000 0.5000
Pd 0.5000 0.5000 0.5000
Pb 0.1595 0.6595 0.5000
Pb 0.3405 0.1595 0.5000
Pb 0.6595 0.8405 0.5000
Pb 0.8405 0.3405 0.5000

Properties
Distance to the lowest polymorph of the same formula in meV per atom: 213
E in Ry per atom: -0.26647
Energy relative to the elements in eV per atom: 0.107
D(E_F) in states/eV per cell: 2.3


# 10
The following is a PBE calculation of a geometry-optimized Y2CdSe2 structure, from Alexandria via LeMat-Bulk.

Cell: 8.1467 8.1467 3.7110 Å, 90.00 90.00 90.00°
Positions (direct):
Y 0.1535 0.3465 0.0000
Y 0.3465 0.8465 0.0000
Y 0.6535 0.1535 0.0000
Y 0.8465 0.6535 0.0000
Cd 0.0000 0.0000 0.0000
Cd 0.5000 0.5000 0.0000
Se 0.1432 0.6432 0.5000
Se 0.3568 0.1432 0.5000
Se 0.6432 0.8568 0.5000
Se 0.8568 0.3568 0.5000

Properties
Distance to the lowest polymorph of the same formula in meV per atom: 43
E in Ry per atom: -0.38840
D(E_F) in states/eV per cell: 8.1


# 11
The following is a PBE calculation of a geometry-optimized K2TmAsSe4 structure, from Alexandria via LeMat-Bulk.

Cell: 8.5489 8.5489 8.5489 Å, 120.14 119.90 89.97°
Positions (direct):
K 0.0000 0.0000 0.0000
K 0.5000 0.0000 0.0000
K 0.5000 0.0000 0.5000
K 0.5000 0.5000 0.5000
Tm 0.0000 0.5000 0.5000
Tm 0.5000 0.5000 0.0000
As 0.0000 0.0000 0.5000
As 0.0000 0.5000 0.0000
Se 0.2000 0.7363 0.4637
Se 0.2275 0.2637 0.9637
Se 0.2313 0.2584 0.5271
Se 0.2313 0.7041 0.9729
Se 0.7687 0.2959 0.0271
Se 0.7687 0.7416 0.4729
Se 0.7725 0.7363 0.0363
Se 0.8000 0.2637 0.5363

Properties
E in Ry per atom: -0.31231


Look up the E of the eighth one.
-0.38736 Ry per atom